1.
Density functional theory data (PBE) for a geometry-optimized NdSb4Te7 structure.

Output
crystal system: trigonal
M_tot: 0.0 μB/cell
symmetry: P-3m1
total DFT energy (no corrections): -3.9377 eV/atom

```
data_NdSb4Te7
_chemical_formula_sum 'Nd1 Sb4 Te7'
_cell_length_a 4.383
_cell_length_b 4.383
_cell_length_c 24.925
_cell_angle_alpha 90.00
_cell_angle_beta 90.00
_cell_angle_gamma 120.00
_space_group_name_H-M_alt 'P 1'
_space_group_IT_number 1
loop_
_space_group_symop_operation_xyz
'x,y,z'
loop_
_atom_site_label
_atom_site_type_symbol
_atom_site_fract_x
_atom_site_fract_y
_atom_site_fract_z
_atom_site_occupancy
Nd1 Nd 0.000 0.000 0.000 1
Sb1 Sb 0.333 0.667 0.578 1
Sb2 Sb 0.333 0.667 0.834 1
Sb3 Sb 0.667 0.333 0.166 1
Sb4 Sb 0.667 0.333 0.422 1
Te1 Te 0.000 0.000 0.229 1
Te2 Te 0.000 0.000 0.500 1
Te3 Te 0.000 0.000 0.771 1
Te4 Te 0.333 0.667 0.078 1
Te5 Te 0.333 0.667 0.355 1
Te6 Te 0.667 0.333 0.645 1
Te7 Te 0.667 0.333 0.922 1
```

=====

2.
Density functional theory data (PBE) for a geometry-optimized BeOsAu2 structure.

Output
crystal system: cubic
M_tot: 0.7 μB/cell
symmetry: F-43m
total DFT energy (no corrections): -4.7629 eV/atom

```
data_BeOsAu2
_chemical_formula_sum 'Be1 Os1 Au2'
_cell_length_a 4.406
_cell_length_b 4.406
_cell_length_c 4.406
_cell_angle_alpha 60.00
_cell_angle_beta 60.00
_cell_angle_gamma 60.00
_space_group_name_H-M_alt 'P 1'
_space_group_IT_number 1
loop_
_space_group_symop_operation_xyz
'x,y,z'
loop_
_atom_site_label
_atom_site_type_symbol
_atom_site_fract_x
_atom_site_fract_y
_atom_site_fract_z
_atom_site_occupancy
Be1 Be 0.000 0.000 0.000 1
Os1 Os 0.250 0.250 0.250 1
Au1 Au 0.500 0.500 0.500 1
Au2 Au 0.750 0.750 0.750 1
```

=====

Question: Which value of total DFT energy (no corrections) does entry 2 give?
Answer: -4.7629 eV/atom

=====

Question: Which value of total DFT energy (no corrections) does entry 2 give?
Answer: -4.7629 eV/atom

=====

Question: Among the records above, which one has the highest total DFT energy (no corrections)?
Answer: NdSb4Te7